[1]
Crystalline TiCuC2 at its relaxed geometry, computed with GGA-PBE.

abc: 5.319 5.319 5.319
angles: 90.00 90.00 90.00
Space group Fm-3m (No. 225)
Inequivalent atoms, fractional coordinates:
Ti: 0.000 0.000 0.000 (multiplicity 4)
Cu: 0.000 0.000 0.500 (multiplicity 4)
C: 0.250 0.250 0.250 (multiplicity 8)

Results
energy of formation from the pure elements = 1029.1 meV per atom
size of the total moment = 0.00 μB/f.u.


[2]
Crystalline Tb2PrTm at its relaxed geometry, computed with GGA-PBE.

abc: 8.070 8.070 8.070
angles: 90.00 90.00 90.00
Space group Fm-3m (No. 225)
Inequivalent atoms, fractional coordinates:
Tb: 0.250 0.250 0.250 (multiplicity 8)
Pr: 0.000 0.000 0.000 (multiplicity 4)
Tm: 0.000 0.000 0.500 (multiplicity 4)

Results
energy of formation from the pure elements = 146.8 meV per atom
size of the total moment = 0.00 μB/f.u.


[3]
Crystalline PuSc2Rh3 at its relaxed geometry, computed with GGA-PBE.

abc: 3.219 3.219 10.351
angles: 90.00 90.00 90.00
Space group P4/mmm (No. 123)
Inequivalent atoms, fractional coordinates:
Pu: 0.000 0.000 0.000 (multiplicity 1)
Sc: 0.000 0.000 0.342 (multiplicity 2)
Rh: 0.500 0.500 0.190 (multiplicity 2)
Rh: 0.500 0.500 0.500 (multiplicity 1)

Results
energy of formation from the pure elements = -795.1 meV per atom
size of the total moment = 5.47 μB/f.u.